Compound: Dy2Si4Pd3Pt
Source: Alexandria via LeMat-Bulk
Functional: PBE-GGA
Structure: optimized geometry

## Properties
* formation energy (no corrections): -21.4 kcal/mol of atoms
* E: -61.78 eV/f.u.
* V: 173.2 Å³/f.u.

a b c (Å): 4.1761 4.1761 9.9306
angles (deg): 90.00 90.00 90.00
With the nearest neighbours (Å) after each atom.
Space group P-4m2 (No. 115)
One atom of each set of equivalent atoms:
Dy1 0.0000 0.5000 0.2471 [2 per cell]  8 Si 3.18-3.22, 6 Pd 3.19-3.27, 2 Pt 3.27
Si1 0.0000 0.0000 0.0000 [1 per cell]  4 Pd 2.43
Si2 0.0000 0.5000 0.6330 [2 per cell]  3 Pd 2.39-2.47, 2 Pt 2.47
Si3 0.5000 0.5000 0.0000 [1 per cell]  4 Pd 2.43
Pd1 0.0000 0.5000 0.8739 [2 per cell]  5 Si 2.39-2.43
Pd2 0.5000 0.5000 0.5000 [1 per cell]  4 Si 2.47
Pt1 0.0000 0.0000 0.5000 [1 per cell]  4 Si 2.47

---

Compound: HoGa2Co3
Source: Alexandria via LeMat-Bulk
Functional: PBE-GGA
Structure: optimized geometry

## Properties
* E_form: -0.37 eV/atom
* E: -34.14 eV/f.u.
* V: 88.4 Å³/f.u.

a b c (Å): 5.2212 5.2212 3.7443
angles (deg): 90.00 90.00 120.00
With the nearest neighbours (Å) after each atom.
Space group P6/mmm (No. 191)
One atom of each set of equivalent atoms:
Ho1 0.0000 0.0000 0.0000 [1 per cell]  6 Ga 3.01, 12 Co 3.21
Ga1 0.3333 0.6667 0.0000 [2 per cell]  6 Co 2.40
Co1 0.0000 0.5000 0.5000 [3 per cell]  4 Ga 2.40, 4 Co 2.61

---

Compound: Ta2AuCl
Source: Alexandria via LeMat-Bulk
Functional: PBE-GGA
Structure: optimized geometry

## Properties
* formation energy (no corrections): -2.8 kcal/mol of atoms
* E: -29.32 eV/f.u.
* V: 80.8 Å³/f.u.

a b c (Å): 3.9048 4.3911 9.4283
angles (deg): 90.00 90.00 90.00
With the nearest neighbours (Å) after each atom.
Space group Cmm2 (No. 35)
One atom of each set of equivalent atoms:
Ta1 0.0000 0.0000 0.0000 [2 per cell]  4 Cl 2.63-2.81, 6 Ta 2.93-2.94
Ta2 0.0000 0.5000 0.2318 [2 per cell]  4 Au 2.81-2.98, 8 Ta 2.93-3.10
Au1 0.0000 0.0000 0.4455 [2 per cell]  4 Ta 2.81-2.98, 4 Au 2.94
Cl1 0.0000 0.5000 0.8132 [2 per cell]  4 Ta 2.63-2.81, 4 Cl 2.94

---

Compound: Sr2ReW
Source: Alexandria via LeMat-Bulk
Functional: PBE-GGA
Structure: optimized geometry

## Properties
* E_form: 1.34 eV/atom
* E: -23.42 eV/f.u.
* V: 161.1 Å³/f.u.

a b c (Å): 11.7194 11.7194 4.6926
angles (deg): 90.00 90.00 90.00
With the nearest neighbours (Å) after each atom.
Space group I-42d (No. 122)
One atom of each set of equivalent atoms:
Sr1 0.0759 0.7500 0.1250 [8 per cell]  2 Re 3.12
Re1 0.0000 0.0000 0.0000 [4 per cell]  2 W 2.35
W1 0.0000 0.0000 0.5000 [4 per cell]  2 Re 2.35

---

> The highest E belongs to which entry?

Sr2ReW

---

> E of number 4 (Sr2ReW)?

-23.42 eV/f.u.

---

> Which of these has the highest E?

Sr2ReW

---

Repeat the first record exactly.
Compound: Dy2Si4Pd3Pt
Source: Alexandria via LeMat-Bulk
Functional: PBE-GGA
Structure: optimized geometry

## Properties
* formation energy (no corrections): -21.4 kcal/mol of atoms
* E: -61.78 eV/f.u.
* V: 173.2 Å³/f.u.

a b c (Å): 4.1761 4.1761 9.9306
angles (deg): 90.00 90.00 90.00
With the nearest neighbours (Å) after each atom.
Space group P-4m2 (No. 115)
One atom of each set of equivalent atoms:
Dy1 0.0000 0.5000 0.2471 [2 per cell]  8 Si 3.18-3.22, 6 Pd 3.19-3.27, 2 Pt 3.27
Si1 0.0000 0.0000 0.0000 [1 per cell]  4 Pd 2.43
Si2 0.0000 0.5000 0.6330 [2 per cell]  3 Pd 2.39-2.47, 2 Pt 2.47
Si3 0.5000 0.5000 0.0000 [1 per cell]  4 Pd 2.43
Pd1 0.0000 0.5000 0.8739 [2 per cell]  5 Si 2.39-2.43
Pd2 0.5000 0.5000 0.5000 [1 per cell]  4 Si 2.47
Pt1 0.0000 0.0000 0.5000 [1 per cell]  4 Si 2.47